A plane-wave DFT calculation with PBE+U was carried out for a geometry-optimized K2NiF4 structure.

Geometry as POSCAR:
```
K2NiF4
1.0
-2.032 2.032 6.604
2.032 -2.032 6.604
2.032 2.032 -6.604
K Ni F
2 1 4
Cartesian
0.000 0.000 1.932
0.000 0.000 11.276
0.000 0.000 6.604
2.032 0.000 0.000
0.000 0.000 4.572
0.000 2.032 0.000
0.000 0.000 8.636
```

Output
Fermi-level density of states ... 0.00 states/eV per cell
E ... -30.204 eV/cell
V ... 109 Å³/f.u.